Entry 1
An optimized crystal structure of LaZr3Al. Source: the Alexandria database, functional GGA-PBE.

Results
Spin magnetization, μB per formula unit: 0.00
Space-group type: Pm-3m, No. 221
ρ, g cm⁻³: 5.239

Cell: 5.1842 5.1842 5.1842 Å, 90.00 90.00 90.00°
Closest atoms and distances in Å follow each position.
Atoms (fractional coordinates):
Al (0.0000, 0.0000, 0.0000)  6 Zr 2.59
Zr (0.0000, 0.5000, 0.0000)  2 Al 2.59
Zr (0.0000, 0.0000, 0.5000)  2 Al 2.59
Zr (0.5000, 0.0000, 0.0000)  2 Al 2.59
La (0.5000, 0.5000, 0.5000)  12 Zr 3.67


Entry 2
An optimized crystal structure of LaZr3Al. Source: the Alexandria database, functional GGA-PBE.

Results
Spin magnetization, μB per formula unit: 0.00
Space-group type: Pm-3m, No. 221
ρ, g cm⁻³: 5.514

Cell: 5.0963 5.0963 5.0963 Å, 90.00 90.00 90.00°
Closest atoms and distances in Å follow each position.
Atoms (fractional coordinates):
Al (0.5000, 0.5000, 0.5000)  12 Zr 3.60
Zr (0.0000, 0.5000, 0.0000)  2 La 2.55
Zr (0.0000, 0.0000, 0.5000)  2 La 2.55
Zr (0.5000, 0.0000, 0.0000)  2 La 2.55
La (0.0000, 0.0000, 0.0000)  6 Zr 2.55


Result of the stability comparison: entry 2 is the least stable of them.


Entry 1
An optimized crystal structure of Li4Al3. Source: the Alexandria database, functional GGA-PBE.

Results
Spin magnetization, μB per formula unit: 0.00
Space-group type: P6/mmm, No. 191
ρ, g cm⁻³: 1.452

Cell: 5.3393 5.3393 5.0352 Å, 90.00 90.00 120.00°
Closest atoms and distances in Å follow each position.
Atoms (fractional coordinates):
Li (0.0000, 0.0000, 0.2451)  2 Li 2.47-2.57
Li (0.0000, 0.0000, 0.7549)  2 Li 2.47-2.57
Li (0.6667, 0.3333, 0.5000)  6 Al 2.95, 3 Li 3.08
Li (0.3333, 0.6667, 0.5000)  6 Al 2.95, 3 Li 3.08
Al (0.0000, 0.5000, 0.0000)  4 Al 2.67, 8 Li 2.94-2.95
Al (0.5000, 0.5000, 0.0000)  4 Al 2.67, 8 Li 2.94-2.95
Al (0.5000, 0.0000, 0.0000)  4 Al 2.67, 8 Li 2.94-2.95


Entry 2
An optimized crystal structure of Li4Al3. Source: the Alexandria database, functional GGA-PBE.

Results
Spin magnetization, μB per formula unit: 0.00
Space-group type: P6_3/m, No. 176
ρ, g cm⁻³: 1.567

Cell: 4.5369 7.6564 7.6564 Å, 120.00 90.00 90.00°
Closest atoms and distances in Å follow each position.
Atoms (fractional coordinates):
Li (0.2500, 0.4532, 0.0774)  5 Al 2.74-2.92, 5 Li 2.80-2.91
Li (0.7500, 0.5468, 0.9226)  5 Al 2.74-2.92, 5 Li 2.80-2.91
Li (0.2500, 0.3333, 0.6667)  9 Li 2.80-2.91, 3 Al 2.93
Li (0.7500, 0.0774, 0.6242)  5 Al 2.74-2.92, 5 Li 2.80-2.91
Li (0.2500, 0.6242, 0.5468)  5 Al 2.74-2.92, 5 Li 2.80-2.91
Li (0.7500, 0.3758, 0.4532)  5 Al 2.74-2.92, 5 Li 2.80-2.91
Li (0.2500, 0.9226, 0.3758)  5 Al 2.74-2.92, 5 Li 2.80-2.91
Li (0.7500, 0.6667, 0.3333)  9 Li 2.80-2.91, 3 Al 2.93
Al (0.7500, 0.2347, 0.0362)  6 Li 2.74-2.93, 6 Al 2.82-2.90
Al (0.2500, 0.7653, 0.9638)  6 Li 2.74-2.93, 6 Al 2.82-2.90
Al (0.2500, 0.0362, 0.8015)  6 Li 2.74-2.93, 6 Al 2.82-2.90
Al (0.7500, 0.8015, 0.7653)  6 Li 2.74-2.93, 6 Al 2.82-2.90
Al (0.2500, 0.1985, 0.2347)  6 Li 2.74-2.93, 6 Al 2.82-2.90
Al (0.7500, 0.9638, 0.1985)  6 Li 2.74-2.93, 6 Al 2.82-2.90


Result of the stability comparison: entry 1 is the least stable of them.


Entry 1
An optimized crystal structure of Li5Al4. Source: the Alexandria database, functional GGA-PBE.

Results
Spin magnetization, μB per formula unit: 0.00
Space-group type: I4/mmm, No. 139
ρ, g cm⁻³: 1.563

Cell: 6.6718 6.6718 6.6718 Å, 94.37 94.37 147.94°
Closest atoms and distances in Å follow each position.
Atoms (fractional coordinates):
Al (0.6624, 0.0000, 0.6624)  5 Al 2.78-2.95, 7 Li 2.84-3.06
Al (0.3376, 0.0000, 0.3376)  5 Al 2.78-2.95, 7 Li 2.84-3.06
Al (0.0000, 0.3376, 0.3376)  5 Al 2.78-2.95, 7 Li 2.84-3.06
Al (0.0000, 0.6624, 0.6624)  5 Al 2.78-2.95, 7 Li 2.84-3.06
Li (0.0000, 0.0000, 0.0000)  8 Li 2.89, 4 Al 3.06
Li (0.6732, 0.3268, 0.0000)  4 Li 2.70-2.89, 6 Al 2.84-2.97
Li (0.3268, 0.6732, 0.0000)  4 Li 2.70-2.89, 6 Al 2.84-2.97
Li (0.3268, 0.3268, 0.6536)  4 Li 2.70-2.89, 6 Al 2.84-2.97
Li (0.6732, 0.6732, 0.3464)  4 Li 2.70-2.89, 6 Al 2.84-2.97


Entry 2
An optimized crystal structure of Li5Al4. Source: the Alexandria database, functional GGA-PBE.

Results
Spin magnetization, μB per formula unit: 0.00
Space-group type: C2/m, No. 12
ρ, g cm⁻³: 1.679

Cell: 4.4617 4.4665 8.1685 Å, 90.13 90.00 119.96°
Closest atoms and distances in Å follow each position.
Atoms (fractional coordinates):
Li (0.0003, 0.0005, 0.1678)  5 Li 2.71-2.74, 3 Al 2.72
Li (0.3332, 0.6664, 0.2704)  5 Al 2.65-2.80, 3 Li 2.71
Li (0.0000, 0.0000, 0.5000)  6 Al 2.69, 2 Li 2.71
Li (0.6668, 0.3336, 0.7296)  5 Al 2.65-2.80, 3 Li 2.71
Li (0.9997, 0.9995, 0.8322)  5 Li 2.71-2.74, 3 Al 2.72
Al (0.6667, 0.3334, 0.4048)  7 Li 2.65-2.80, 1 Al 2.79
Al (0.3333, 0.6666, 0.5952)  7 Li 2.65-2.80, 1 Al 2.79
Al (0.3332, 0.6664, 0.9369)  4 Li 2.72, 4 Al 2.78-2.79
Al (0.6668, 0.3336, 0.0631)  4 Li 2.72, 4 Al 2.78-2.79


Result of the stability comparison: entry 1 is the least stable of them.


Entry 1
An optimized crystal structure of Li8MgAl2. Source: the Alexandria database, functional GGA-PBE.

Results
Spin magnetization, μB per formula unit: 0.00
Space-group type: C2/m, No. 12
ρ, g cm⁻³: 1.123

Cell: 5.2963 8.5336 8.5336 Å, 36.42 61.45 61.45°
Closest atoms and distances in Å follow each position.
Atoms (fractional coordinates):
Li (0.2614, 0.0946, 0.5596)  2 Li 2.48-2.51, 1 Al 2.78
Li (0.2614, 0.5596, 0.0946)  2 Li 2.48-2.51, 1 Al 2.78
Li (0.7386, 0.9054, 0.4404)  2 Li 2.48-2.51, 1 Al 2.78
Li (0.2721, 0.4957, 0.4957)  1 Li 2.49
Li (0.7386, 0.4404, 0.9054)  2 Li 2.48-2.51, 1 Al 2.78
Li (0.3233, 0.1178, 0.1178)  3 Al 2.85-2.88, 2 Mg 3.10-3.14, 4 Li 3.10-3.11
Li (0.6767, 0.8822, 0.8822)  3 Al 2.85-2.88, 2 Mg 3.10-3.14, 4 Li 3.10-3.11
Li (0.7279, 0.5043, 0.5043)  1 Li 2.49
Mg (0.0000, 0.0000, 0.0000)  12 Li 2.81-3.14
Al (0.8203, 0.3045, 0.3045)  11 Li 2.78-3.06
Al (0.1797, 0.6955, 0.6955)  11 Li 2.78-3.06


Entry 2
An optimized crystal structure of Li8MgAl2. Source: the Alexandria database, functional GGA-PBE.

Results
Spin magnetization, μB per formula unit: 0.00
Space-group type: C2/m, No. 12
ρ, g cm⁻³: 1.028

Cell: 4.6716 6.9392 6.9392 Å, 106.19 90.12 90.12°
Closest atoms and distances in Å follow each position.
Atoms (fractional coordinates):
Li (0.9993, 0.9689, 0.6919)  2 Al 2.77-3.08, 5 Li 2.81-3.07
Li (0.9993, 0.6919, 0.9689)  2 Al 2.77-3.08, 5 Li 2.81-3.07
Li (0.5008, 0.6544, 0.6544)  1 Li 2.57, 1 Mg 2.88
Li (0.5000, 0.2616, 0.7384)  2 Al 2.71, 1 Mg 2.90, 2 Li 2.94
Li (0.5000, 0.7384, 0.2616)  2 Al 2.71, 1 Mg 2.90, 2 Li 2.94
Li (0.4992, 0.3456, 0.3456)  1 Li 2.57, 1 Mg 2.88
Li (0.0007, 0.3081, 0.0311)  2 Al 2.77-3.08, 5 Li 2.81-3.07
Li (0.0007, 0.0311, 0.3081)  2 Al 2.77-3.08, 5 Li 2.81-3.07
Mg (0.5000, 0.0000, 0.0000)  12 Li 2.88-3.13
Al (0.0000, 0.6149, 0.3851)  1 Al 2.55, 4 Li 2.71-2.77
Al (0.0000, 0.3851, 0.6149)  1 Al 2.55, 4 Li 2.71-2.77


Result of the stability comparison: entry 2 is the least stable of them.


Entry 1
An optimized crystal structure of LiMgAl. Source: the Alexandria database, functional GGA-PBE.

Results
Spin magnetization, μB per formula unit: 0.00
Space-group type: I4mm, No. 107
ρ, g cm⁻³: 1.720

Cell: 6.8201 6.8201 6.8201 Å, 155.09 155.09 35.52°
Closest atoms and distances in Å follow each position.
Atoms (fractional coordinates):
Mg (0.6625, 0.6625, 0.0000)  4 Mg 2.94, 4 Al 3.01, 4 Li 3.13
Al (0.9947, 0.9947, 0.0000)  4 Li 2.87, 4 Al 2.94, 4 Mg 3.01
Li (0.3428, 0.3428, 0.0000)  4 Al 2.87, 4 Li 2.94, 4 Mg 3.13


Entry 2
An optimized crystal structure of LiMgAl. Source: the Alexandria database, functional GGA-PBE.

Results
Spin magnetization, μB per formula unit: 0.00
Space-group type: F-43m, No. 216
ρ, g cm⁻³: 1.547

Cell: 4.4548 4.4548 4.4548 Å, 60.00 60.00 60.00°
Closest atoms and distances in Å follow each position.
Atoms (fractional coordinates):
Al (0.5000, 0.5000, 0.5000)  4 Li 2.73
Li (0.7500, 0.7500, 0.7500)  4 Al 2.73, 4 Mg 2.73
Mg (0.0000, 0.0000, 0.0000)  4 Li 2.73


Entry 3
An optimized crystal structure of LiMgAl. Source: the Alexandria database, functional GGA-PBE.

Results
Spin magnetization, μB per formula unit: 0.00
Space-group type: Fmm2, No. 42
ρ, g cm⁻³: 1.721

Cell: 7.4398 7.2466 2.9087 Å, 82.33 74.87 22.80°
Closest atoms and distances in Å follow each position.
Atoms (fractional coordinates):
Al (0.9949, 0.9949, 0.0051)  2 Li 2.76, 4 Al 2.91, 2 Mg 2.94
Li (0.3392, 0.3392, 0.6608)  2 Al 2.76, 4 Li 2.91, 2 Mg 2.96
Mg (0.6660, 0.6660, 0.3340)  4 Mg 2.91, 2 Al 2.94, 2 Li 2.96


Result of the stability comparison: entry 2 is the least stable of them.


Entry 1
An optimized crystal structure of LiMgAl. Source: the Alexandria database, functional GGA-PBE.

Results
Spin magnetization, μB per formula unit: 0.00
Space-group type: C2/m, No. 12
ρ, g cm⁻³: 1.626

Cell: 3.0305 4.8463 9.9987 Å, 119.74 90.00 108.22°
Closest atoms and distances in Å follow each position.
Atoms (fractional coordinates):
Li (0.2976, 0.5953, 0.7812)  5 Al 2.85-2.92, 3 Mg 2.98-3.03, 2 Li 3.03
Li (0.7024, 0.4047, 0.2188)  5 Al 2.85-2.92, 3 Mg 2.98-3.03, 2 Li 3.03
Al (0.1050, 0.2100, 0.9340)  5 Al 2.74-3.03, 5 Li 2.85-2.92, 1 Mg 2.89
Al (0.8950, 0.7900, 0.0660)  5 Al 2.74-3.03, 5 Li 2.85-2.92, 1 Mg 2.89
Mg (0.0819, 0.1637, 0.4054)  1 Al 2.89, 5 Mg 2.97-3.06, 4 Li 2.98-3.20
Mg (0.9181, 0.8363, 0.5946)  1 Al 2.89, 5 Mg 2.97-3.06, 4 Li 2.98-3.20


Entry 2
An optimized crystal structure of LiMgAl. Source: the Alexandria database, functional GGA-PBE.

Results
Spin magnetization, μB per formula unit: 0.00
Space-group type: P3m1, No. 156
ρ, g cm⁻³: 1.762

Cell: 4.6515 4.6515 2.9283 Å, 90.00 90.00 120.00°
Closest atoms and distances in Å follow each position.
Atoms (fractional coordinates):
Mg (0.6667, 0.3333, 0.6522)  3 Li 2.88, 2 Mg 2.93, 6 Al 2.93-3.20
Al (0.0000, 0.0000, 0.0556)  3 Li 2.77, 2 Al 2.93, 3 Mg 2.93
Li (0.3333, 0.6667, 0.2923)  3 Al 2.77, 3 Mg 2.88, 2 Li 2.93


Entry 3
An optimized crystal structure of LiMgAl. Source: the Alexandria database, functional GGA-PBE.

Results
Spin magnetization, μB per formula unit: 0.00
Space-group type: P3m1, No. 156
ρ, g cm⁻³: 1.692

Cell: 3.0324 3.0324 7.1746 Å, 90.00 90.00 120.00°
Closest atoms and distances in Å follow each position.
Atoms (fractional coordinates):
Al (0.0000, 0.0000, 0.0084)  3 Li 2.83, 3 Mg 2.97, 6 Al 3.03
Li (0.3333, 0.6667, 0.3181)  3 Al 2.83, 6 Li 3.03, 3 Mg 3.09
Mg (0.6667, 0.3333, 0.6735)  3 Al 2.97, 6 Mg 3.03, 3 Li 3.09


Result of the stability comparison: entry 1 is the least stable of them.